[1]
The following is a DFT calculation (GGA-PBE) of crystalline Tb3Tl2Hg6 at its relaxed geometry.

N(E_F) = 8.05 states/eV/f.u.
Formation energy = -0.149 eV per atom
Raw total energy = -2.01 eV/atom

Lattice parameters (Å, degrees): 4.556 4.556 30.535 90.00 90.00 90.00
Space group I4/mmm (No. 139)
Asymmetric unit:
Tb 0.000 0.000 0.000 (multiplicity 2)
Tb 0.000 0.000 0.148 (multiplicity 4)
Tl 0.000 0.000 0.351 (multiplicity 4)
Hg 0.000 0.000 0.249 (multiplicity 4)
Hg 0.000 0.500 0.071 (multiplicity 8)

***

[2]
The following is a DFT calculation (GGA-PBE) of crystalline Tb4Tl2Hg at its relaxed geometry.

N(E_F) = 5.96 states/eV/f.u.
Formation energy = -0.193 eV per atom
Polymorph energy (0 for the lowest one) = 6.4 kJ per mole of atoms
Raw total energy = -3.56 eV/atom

Lattice parameters (Å, degrees): 7.208 6.774 9.206 90.00 111.45 90.00
Space group P2_1/m (No. 11)
Asymmetric unit:
Tb 0.087 0.250 0.055 (multiplicity 2)
Tb 0.174 0.008 0.731 (multiplicity 4)
Tb 0.317 0.750 0.343 (multiplicity 2)
Tl 0.204 0.250 0.442 (multiplicity 2)
Tl 0.425 0.750 0.041 (multiplicity 2)
Hg 0.494 0.750 0.700 (multiplicity 2)

***

[3]
The following is a DFT calculation (GGA-PBE) of crystalline Tb4Tl2Hg3 at its relaxed geometry.

N(E_F) = 7.98 states/eV/f.u.
Formation energy = -0.337 eV per atom
Polymorph energy (0 for the lowest one) = 0.0 kJ per mole of atoms
Raw total energy = -3.02 eV/atom

Lattice parameters (Å, degrees): 9.004 5.217 10.223 90.00 90.38 90.00
Space group C2/m (No. 12)
Asymmetric unit:
Tb 0.001 0.000 0.330 (multiplicity 4)
Tb 0.167 0.500 0.115 (multiplicity 4)
Tl 0.166 0.500 0.785 (multiplicity 4)
Hg 0.000 0.000 0.000 (multiplicity 2)
Hg 0.167 0.500 0.440 (multiplicity 4)

***

[4]
The following is a DFT calculation (GGA-PBE) of crystalline TbTlHg at its relaxed geometry.

N(E_F) = 0.86 states/eV/f.u.
Formation energy = -0.287 eV per atom
Raw total energy = -2.72 eV/atom

Lattice parameters (Å, degrees): 6.974 6.974 6.974 90.00 90.00 90.00
Space group F-43m (No. 216)
Asymmetric unit:
Tb 0.000 0.000 0.000 (multiplicity 4)
Tl 0.000 0.000 0.500 (multiplicity 4)
Hg 0.250 0.250 0.250 (multiplicity 4)